# PBEsol Ni3Sb, optimized geometry
# E   -23.47 eV/f.u.
# Total moment   0.0 Bohr magnetons per cell
# Formation energy from raw total energies   -0.1099 eV/atom
# Energy above the most stable polymorph in this dataset   0.072 eV/atom
data_Ni3Sb
_cell_length_a 4.657
_cell_length_b 4.657
_cell_length_c 4.657
_cell_angle_alpha 90.00
_cell_angle_beta 90.00
_cell_angle_gamma 90.00
_space_group_name_H-M_alt 'P m -3 n'
_space_group_IT_number 223
_space_group_name_Hall '-P 4n 2 3'
loop_
_atom_site_label
_atom_site_type_symbol
_atom_site_fract_x
_atom_site_fract_y
_atom_site_fract_z
_atom_site_occupancy
Ni1 Ni 0.000 0.250 0.500 1
Sb1 Sb 0.000 0.000 0.000 1

# PBEsol TeWCl2, optimized geometry
# E   -20.26 eV/f.u.
# Total moment   0.0 Bohr magnetons per cell
# Formation energy from raw total energies   0.2729 eV/atom
# Energy above the most stable polymorph in this dataset   0.373 eV/atom
data_TeWCl2
_cell_length_a 3.170
_cell_length_b 5.448
_cell_length_c 9.281
_cell_angle_alpha 90.00
_cell_angle_beta 90.00
_cell_angle_gamma 90.00
_space_group_name_H-M_alt 'C m m 2'
_space_group_IT_number 35
_space_group_name_Hall 'C 2 -2'
loop_
_atom_site_label
_atom_site_type_symbol
_atom_site_fract_x
_atom_site_fract_y
_atom_site_fract_z
_atom_site_occupancy
Te1 Te 0.000 0.000 0.000 1
W1 W 0.000 0.500 0.749 1
Cl1 Cl 0.000 0.000 0.555 1
Cl2 Cl 0.000 0.500 0.254 1

# PBEsol Li3BrF, optimized geometry
# E   -17.07 eV/f.u.
# Total moment   0.0 Bohr magnetons per cell
# Formation energy from raw total energies   -1.4744 eV/atom
data_Li3BrF
_cell_length_a 4.276
_cell_length_b 4.276
_cell_length_c 4.276
_cell_angle_alpha 90.00
_cell_angle_beta 90.00
_cell_angle_gamma 90.00
_space_group_name_H-M_alt 'P m -3 m'
_space_group_IT_number 221
_space_group_name_Hall '-P 4 2 3'
loop_
_atom_site_label
_atom_site_type_symbol
_atom_site_fract_x
_atom_site_fract_y
_atom_site_fract_z
_atom_site_occupancy
Li1 Li 0.000 0.000 0.500 1
Br1 Br 0.500 0.500 0.500 1
F1 F 0.000 0.000 0.000 1

# PBEsol TcIrPt, optimized geometry
# E   -28.64 eV/f.u.
# Total moment   0.0 Bohr magnetons per cell
# Energy above the most stable polymorph in this dataset   0.000 eV/atom
# Energy of formation   -0.59 eV/f.u.
data_TcIrPt
_cell_length_a 2.713
_cell_length_b 2.713
_cell_length_c 11.631
_cell_angle_alpha 90.00
_cell_angle_beta 90.00
_cell_angle_gamma 90.00
_space_group_name_H-M_alt 'I 4 m m'
_space_group_IT_number 107
_space_group_name_Hall 'I 4 -2'
loop_
_atom_site_label
_atom_site_type_symbol
_atom_site_fract_x
_atom_site_fract_y
_atom_site_fract_z
_atom_site_occupancy
Tc1 Tc 0.000 0.000 0.000 1
Ir1 Ir 0.000 0.000 0.348 1
Pt1 Pt 0.000 0.000 0.668 1

# PBEsol Ti3Sn, optimized geometry
# E   -30.14 eV/f.u.
# Total moment   6.2 Bohr magnetons per cell
# Energy of formation   -0.91 eV/f.u.
data_Ti3Sn
_cell_length_a 6.505
_cell_length_b 6.505
_cell_length_c 6.505
_cell_angle_alpha 90.00
_cell_angle_beta 90.00
_cell_angle_gamma 90.00
_space_group_name_H-M_alt 'F m -3 m'
_space_group_IT_number 225
_space_group_name_Hall '-F 4 2 3'
loop_
_atom_site_label
_atom_site_type_symbol
_atom_site_fract_x
_atom_site_fract_y
_atom_site_fract_z
_atom_site_occupancy
Ti1 Ti 0.000 0.000 0.000 1
Ti2 Ti 0.250 0.250 0.250 1
Sn1 Sn 0.000 0.000 0.500 1

# PBEsol BaCaSe2, optimized geometry
# E   -19.98 eV/f.u.
# Total moment   0.0 Bohr magnetons per cell
# Formation energy from raw total energies   -2.0003 eV/atom
# Energy above the most stable polymorph in this dataset   0.000 eV/atom
data_BaCaSe2
_cell_length_a 4.3998
_cell_length_b 4.3998
_cell_length_c 21.6362
_cell_angle_alpha 90.00
_cell_angle_beta 90.00
_cell_angle_gamma 120.00
_space_group_name_H-M_alt 'R -3 m'
_space_group_IT_number 166
_space_group_name_Hall '-R 3 2"'
loop_
_atom_site_label
_atom_site_type_symbol
_atom_site_fract_x
_atom_site_fract_y
_atom_site_fract_z
_atom_site_occupancy
Ba1 Ba 0.0000 0.0000 0.0000 1
Ca1 Ca 0.0000 0.0000 0.5000 1
Se1 Se 0.0000 0.0000 0.2409 1